VASP calculation (PBE) on a relaxed structure of Ta2Be2Fe5Co.

The structure in POSCAR format:
```
Ta2Be2Fe5Co
1.0
3.179 0.000 0.000
0.000 8.516 0.000
0.000 0.000 8.516
Fe Be Co Ta
10 4 2 4
direct
0.500 0.565 0.709
0.500 0.709 0.435
0.500 0.935 0.209
0.500 0.065 0.791
0.500 0.209 0.065
0.500 0.500 0.000
0.500 0.791 0.935
0.500 0.435 0.291
0.500 0.000 0.500
0.500 0.291 0.565
0.000 0.120 0.620
0.000 0.880 0.380
0.000 0.620 0.880
0.000 0.380 0.120
0.000 0.000 0.000
0.000 0.500 0.500
0.000 0.324 0.824
0.000 0.676 0.176
0.000 0.824 0.676
0.000 0.176 0.324
```

## Properties
Space group: P4/mbm, No. 127
Final energy: -8.20 eV/atom

***

VASP calculation (PBE) on a relaxed structure of CsTiNiSe3.

The structure in POSCAR format:
```
CsTiNiSe3
1.0
3.746 0.000 0.000
0.000 9.348 -0.179
0.000 -4.631 8.926
Se Ti Cs Ni
6 2 2 2
direct
0.250 0.794 0.448
0.750 0.873 0.144
0.750 0.485 0.138
0.250 0.515 0.862
0.250 0.127 0.856
0.750 0.206 0.552
0.250 0.695 0.164
0.750 0.305 0.836
0.750 0.759 0.744
0.250 0.241 0.256
0.750 0.913 0.396
0.250 0.087 0.604
```

## Properties
Space group: P2_1/m, No. 11
ΔE_f (raw): -0.98 eV/atom

***

VASP calculation (PBE) on a relaxed structure of BaAs2RuBr.

The structure in POSCAR format:
```
BaAs2RuBr
1.0
-2.541 5.400 0.875
-5.205 -2.089 -2.222
-1.671 -1.677 5.492
Ru Ba Br As
1 1 1 2
direct
0.500 0.500 0.500
0.000 0.000 0.000
0.000 0.000 0.500
0.500 0.000 0.000
0.000 0.500 0.000
```

## Properties
Space group: P4/mmm, No. 123
ΔE_f (raw): 1.38 eV/atom

***

VASP calculation (PBE) on a relaxed structure of Tb2PmNd5Sm.

The structure in POSCAR format:
```
Tb2PmNd5Sm
1.0
5.727 0.000 0.000
-2.864 10.248 0.000
0.000 0.000 10.731
Sm Tb Nd Pm
2 4 10 2
direct
0.588 0.176 0.954
0.412 0.824 0.454
0.883 0.766 0.821
0.117 0.234 0.321
0.112 0.224 0.735
0.888 0.776 0.235
0.391 0.782 0.026
0.297 0.593 0.704
0.522 0.043 0.241
0.017 0.033 0.023
0.478 0.957 0.741
0.703 0.407 0.204
0.281 0.561 0.311
0.609 0.218 0.526
0.719 0.439 0.811
0.983 0.967 0.523
0.799 0.598 0.510
0.201 0.402 0.010
```

## Properties
Space group: Cmc2_1, No. 36
Final energy: -4.59 eV/atom

***

VASP calculation (PBE) on a relaxed structure of GaSnI2F.

The structure in POSCAR format:
```
GaSnI2F
1.0
-5.046 2.986 -2.271
-3.148 -5.441 -0.158
-1.466 0.726 4.211
I Sn F Ga
2 1 1 1
direct
0.000 0.500 0.000
0.500 0.000 0.000
0.000 0.000 0.000
0.000 0.000 0.500
0.500 0.500 0.500
```

## Properties
Space group: P4/mmm, No. 123
ΔE_f (raw): -0.84 eV/atom

***

VASP calculation (PBE) on a relaxed structure of Nd2P2Rh5.

The structure in POSCAR format:
```
Nd2P2Rh5
1.0
4.168 0.000 0.000
0.000 4.168 0.000
0.000 0.000 8.933
Rh P Nd
5 2 2
direct
0.000 0.500 0.257
0.000 0.500 0.743
0.500 0.000 0.257
0.500 0.500 0.500
0.500 0.000 0.743
0.500 0.500 0.851
0.500 0.500 0.149
0.000 0.000 0.500
0.000 0.000 0.000
```

## Properties
Space group: P4/mmm, No. 123
Final energy: -7.26 eV/atom

***

What did the fourth record say?
VASP calculation (PBE) on a relaxed structure of Tb2PmNd5Sm.

The structure in POSCAR format:
```
Tb2PmNd5Sm
1.0
5.727 0.000 0.000
-2.864 10.248 0.000
0.000 0.000 10.731
Sm Tb Nd Pm
2 4 10 2
direct
0.588 0.176 0.954
0.412 0.824 0.454
0.883 0.766 0.821
0.117 0.234 0.321
0.112 0.224 0.735
0.888 0.776 0.235
0.391 0.782 0.026
0.297 0.593 0.704
0.522 0.043 0.241
0.017 0.033 0.023
0.478 0.957 0.741
0.703 0.407 0.204
0.281 0.561 0.311
0.609 0.218 0.526
0.719 0.439 0.811
0.983 0.967 0.523
0.799 0.598 0.510
0.201 0.402 0.010
```

## Properties
Space group: Cmc2_1, No. 36
Final energy: -4.59 eV/atom